# AgGe2WF

A relaxed structure of AgGe2WF (PBE+U, Alexandria via LeMat-Bulk).

Summary:
Total energy in eV/atom: -4.16
Volume in A^3/atom: 21.99

a b c (Å): 5.159 4.131 5.159
angles (deg): 90.00 90.00 90.00
Atoms (fractional coordinates):
1 F 0.000 0.500 0.000
2 Ge 0.500 0.000 0.000
3 Ag 0.500 0.500 0.500
4 W 0.000 0.000 0.000
5 Ge 0.000 0.000 0.500